Version P
20
Lattice="-0.0177 5.2651 4.4354 -6.7020 0.4005 -0.5021 -0.6628 -4.4584 5.2898" Properties=species:S:1:pos:R:3 comment="PBE LiTaPt3, relaxed" spacegroup="No. 62" pbc="T T T"
Pt -6.1140 -1.3553 3.1695
Pt -2.3159 0.0029 6.5601
Pt -1.0115 4.2912 4.0026
Pt -2.6921 0.0156 3.7285
Pt -5.0666 1.2044 2.6629
Pt -5.3403 3.8528 4.8607
Pt -4.9473 -0.5369 7.5455
Pt -2.0422 -2.6455 4.3623
Pt -6.3709 -3.0839 5.2204
Pt -1.2685 2.5626 6.0535
Pt -2.4352 1.7442 1.6776
Pt -4.6903 1.1917 5.4945
Ta -0.3402 0.4034 4.8626
Ta -3.3510 0.2003 -0.2511
Ta -0.0088 2.6326 2.2177
Ta -3.6824 -2.0289 2.3938
Li -0.7277 -0.2060 2.0178
Li -4.4131 -1.3527 5.1549
Li -2.9694 2.5600 4.0682
Li -6.6547 1.4133 7.2053

Version Q
10
Lattice="4.9800 -1.4672 1.0073 -1.9759 5.0193 -2.6232 1.2894 0.7359 7.1072" Properties=species:S:1:pos:R:3 comment="PBE LiTaPt3, relaxed" spacegroup="No. 2" pbc="T T T"
Pt 2.4640 0.9034 4.4767
Pt 1.8295 3.3846 1.0144
Pt 0.3166 3.3967 3.3276
Pt 2.4900 -0.7336 0.5036
Pt 3.9769 0.8913 2.1636
Pt 0.0000 0.0000 0.0000
Ta 3.0987 3.2962 3.3186
Ta 1.1948 0.9918 2.1726
Li 1.5231 2.8448 5.9263
Li 2.7704 1.4432 -0.4352

Version R
5
Lattice="4.9149 0.0000 0.0000 0.0000 4.9149 0.0000 0.0000 0.0000 4.9149" Properties=species:S:1:pos:R:3 comment="PBE LiTaPt3, relaxed" spacegroup="No. 221" pbc="T T T"
Ta 0.0000 0.0000 0.0000
Pt 2.4574 0.0000 0.0000
Pt 0.0000 2.4574 0.0000
Pt 0.0000 0.0000 2.4574
Li 2.4574 2.4574 2.4574

The calculated energies rank the structures as follows, beginning with the most stable: version Q, version P, version R.

Version P
6
Lattice="3.9018 0.0131 -0.0240 1.9410 5.0458 0.8652 0.0322 2.5811 6.9096" Properties=species:S:1:pos:R:3 comment="PBE LiTbPt, relaxed" spacegroup="No. 12" pbc="T T T"
Li 4.9520 3.8425 1.2171
Li 3.0345 4.8744 6.9678
Pt 4.9741 5.7914 5.4557
Pt 3.0124 2.9255 2.7291
Tb 1.0769 2.9711 4.9481
Tb 3.0077 5.7327 3.2607

Version Q
3
Lattice="-0.2671 -3.2994 1.5419 3.5269 -0.6199 -0.7155 -0.5190 3.7171 3.5399" Properties=species:S:1:pos:R:3 comment="PBE LiTbPt, relaxed" spacegroup="No. 107" pbc="T T T"
Tb 2.5992 -0.4262 3.8624
Pt 0.6312 0.9985 2.2460
Li 1.9179 -1.5039 1.4382

The calculated energies rank the structures as follows, beginning with the most stable: version P, version Q.

Version P
9
Lattice="4.0387 0.0000 0.0000 0.0000 6.2082 -3.5844 0.0000 0.0001 7.1687" Properties=species:S:1:pos:R:3 comment="PBE LiTbPt, relaxed" spacegroup="No. 189" pbc="T T T"
Pt 2.0193 6.2082 -3.5844
Pt 0.0000 2.0695 3.5843
Pt 0.0000 4.1388 0.0000
Li 0.0000 1.4647 -0.8457
Li 0.0000 4.7436 2.7387
Li 0.0000 6.2082 -1.8931
Tb 2.0193 6.2083 0.6671
Tb 2.0193 2.5263 1.4586
Tb 2.0193 3.6819 -2.1258

Version Q
3
Lattice="-2.4785 0.5955 -2.6973 -2.7910 -2.5685 1.9975 0.0564 4.1963 0.8746" Properties=species:S:1:pos:R:3 comment="PBE LiTbPt, relaxed" spacegroup="No. 187" pbc="T T T"
Tb -3.4941 0.0834 -0.1748
Pt -1.3066 2.0408 0.7985
Li -0.4124 0.0991 -0.4488

Version R
3
Lattice="4.6170 0.0000 0.0000 2.3085 3.9984 0.0000 2.3085 1.3328 3.7698" Properties=species:S:1:pos:R:3 comment="PBE LiTbPt, relaxed" spacegroup="No. 216" pbc="T T T"
Tb 0.0000 0.0000 0.0000
Li 4.6170 2.6656 1.8849
Pt 2.3085 1.3328 0.9424

The calculated energies rank the structures as follows, beginning with the most stable: version P, version Q, version R.

Version P
10
Lattice="-1.6466 3.4885 -1.1257 -3.2906 -1.9504 -1.2312 -4.3369 1.1192 9.8118" Properties=species:S:1:pos:R:3 comment="PBE Li2TbPt2, relaxed" spacegroup="No. 129" pbc="T T T"
Pt -5.7376 0.1466 5.2603
Pt -3.5364 2.5107 2.1946
Pt -1.2345 0.3844 -0.5893
Pt -3.7026 1.1537 -1.7676
Li -3.4028 0.9441 4.3166
Li -6.6818 0.3905 7.3971
Li -2.5922 2.2668 0.0578
Li -5.8712 1.7133 3.1383
Tb -5.3947 2.9898 6.3972
Tb -3.8793 -0.3325 1.0577

Version Q
5
Lattice="4.0912 0.0170 1.9707 1.4808 3.8138 1.9707 -0.2111 -0.1451 5.1143" Properties=species:S:1:pos:R:3 comment="PBE Li2TbPt2, relaxed" spacegroup="No. 12" pbc="T T T"
Li 1.1963 2.2203 2.6361
Li 4.1646 1.4654 6.4196
Pt 2.1305 2.8626 5.4041
Pt 3.2303 0.8230 3.6516
Tb 2.0456 0.0085 0.9853

The calculated energies rank the structures as follows, beginning with the most stable: version Q, version P.

Version P
4
Lattice="0.0029 -2.5405 -4.3048 0.9894 -2.3224 4.3144 -2.5744 -0.5290 0.3080" Properties=species:S:1:pos:R:3 comment="PBE LiTc2Pt, relaxed" spacegroup="No. 12" pbc="T T T"
Tc 0.0000 0.0000 0.0000
Tc 0.4962 -2.4314 0.0048
Li -1.2857 -1.5348 -1.9984
Pt -0.7925 -1.4257 2.3112

Version Q
4
Lattice="0.0000 3.0569 3.0569 3.0569 0.0000 3.0569 3.0569 3.0569 0.0000" Properties=species:S:1:pos:R:3 comment="PBE LiTc2Pt, relaxed" spacegroup="No. 225" pbc="T T T"
Tc 4.5854 4.5854 4.5854
Tc 1.5285 1.5285 1.5285
Pt 3.0569 3.0569 3.0569
Li 0.0000 0.0000 0.0000

Version R
4
Lattice="4.5759 0.0004 -0.0168 3.7951 2.5567 -0.0168 0.4428 0.1353 4.9171" Properties=species:S:1:pos:R:3 comment="PBE LiTc2Pt, relaxed" spacegroup="No. 8" pbc="T T T"
Tc 2.1888 0.6686 1.1465
Tc 0.1167 0.0357 0.1294
Pt 6.5565 2.0028 3.5026
Li 4.3587 1.3315 2.5466

Version S
4
Lattice="2.7125 0.0000 0.0000 0.0000 3.8423 0.0000 0.0000 0.0000 5.4440" Properties=species:S:1:pos:R:3 comment="PBE LiTc2Pt, relaxed" spacegroup="No. 25" pbc="T T T"
Pt 1.3563 1.9211 3.9467
Tc 1.3563 1.9211 1.3171
Tc 0.0000 0.0000 0.1006
Li 0.0000 0.0000 2.8017

The calculated energies rank the structures as follows, beginning with the most stable: version S, version R, version P, version Q.

Version P
4
Lattice="-0.5313 2.4804 -0.8830 -1.3589 -0.7791 2.1819 6.6345 3.3133 5.3151" Properties=species:S:1:pos:R:3 comment="PBE LiTc2Pt, relaxed" spacegroup="No. 35" pbc="T T T"
Tc 0.0578 0.0289 0.0463
Tc 0.6756 1.6600 1.9479
Li 3.3539 1.6750 2.6869
Pt 3.9742 3.3074 4.5905

Version Q
4
Lattice="-0.2279 -2.5661 0.5158 1.8894 0.1975 1.8149 -5.9097 1.7239 5.9648" Properties=species:S:1:pos:R:3 comment="PBE LiTc2Pt, relaxed" spacegroup="No. 123" pbc="T T T"
Tc -2.9770 0.8684 3.0047
Tc -5.8876 1.7174 5.9425
Pt -3.6015 0.1086 5.6390
Li -0.6467 -0.7533 2.6566

The calculated energies rank the structures as follows, beginning with the most stable: version P, version Q.